# 1
Material: AlZn4Te
Method: DFT, PBE
State: optimized geometry

Unit cell a=5.3995 b=5.3995 c=5.3995 alpha=60.00 beta=60.00 gamma=60.00
Closest atoms and distances in Å follow each position.
Fractional positions:
Al (0.0000, 0.0000, 0.0000)  12 Zn 3.16, 4 Te 3.31
Zn (0.1188, 0.6271, 0.6271)  6 Zn 2.65-2.74
Zn (0.6271, 0.1188, 0.6271)  6 Zn 2.65-2.74
Zn (0.6271, 0.6271, 0.1188)  6 Zn 2.65-2.74
Zn (0.6271, 0.6271, 0.6271)  6 Zn 2.65-2.74
Te (0.2500, 0.2500, 0.2500)  12 Zn 3.17, 4 Al 3.31

Magnetic moment ... 0.0 Bohr magnetons per cell
Crystal system ... cubic
Volume ... 18.6 Å³ per atom
Formation energy from raw total energies ... 0.21 eV per atom


# 2
Material: ZrAlTe2
Method: DFT, PBE
State: optimized geometry

Unit cell a=3.7042 b=3.7042 c=7.5207 alpha=90.00 beta=90.00 gamma=90.00
Closest atoms and distances in Å follow each position.
Fractional positions:
Zr (0.0000, 0.0000, 0.0000)  5 Te 2.96-2.97, 4 Al 3.13
Al (0.5000, 0.5000, 0.2269)  5 Te 2.90-3.11, 4 Zr 3.13
Te (0.0000, 0.0000, 0.3936)  4 Al 2.90, 1 Zr 2.96
Te (0.5000, 0.5000, 0.8131)  4 Zr 2.97, 1 Al 3.11

Magnetic moment ... 0.6 Bohr magnetons per cell
Crystal system ... tetragonal
Volume ... 25.8 Å³ per atom
Formation energy from raw total energies ... -0.40 eV per atom